Record 1
Density functional theory data (PBE+U) for an optimized crystal structure of CoPbN2F.

Values from the calculation:
Excess energy over the best structure of this formula in the dataset: 0 meV per atom
Symmetry: P4/mmm, No. 123
DOS(E_F): 1.9 states/eV per cell
Crystal system: tetragonal

abc: 3.7744 3.7744 4.4991
angles: 90.00 90.00 90.00
Closest atoms and distances in Å follow each position.
Sites, in units of the cell vectors:
Pb (0.5000, 0.5000, 0.5000)  4 F 2.67, 8 N 2.94
N (0.0000, 0.5000, 0.0000)  2 Co 1.89
N (0.5000, 0.0000, 0.0000)  2 Co 1.89
Co (0.0000, 0.0000, 0.0000)  4 N 1.89
F (0.0000, 0.0000, 0.5000)  2 Co 2.25

=====

Record 2
Density functional theory data (PBE+U) for an optimized crystal structure of CoPbN2F.

Values from the calculation:
Excess energy over the best structure of this formula in the dataset: 943 meV per atom
Symmetry: P4/mmm, No. 123
DOS(E_F): 1.7 states/eV per cell
Crystal system: tetragonal

abc: 4.2647 4.2647 4.3232
angles: 90.00 90.00 90.00
Closest atoms and distances in Å follow each position.
Sites, in units of the cell vectors:
Pb (0.0000, 0.0000, 0.0000)  4 N 2.13, 2 F 2.16
N (0.0000, 0.5000, 0.0000)  2 Pb 2.13
N (0.5000, 0.0000, 0.0000)  2 Pb 2.13
Co (0.5000, 0.5000, 0.5000)  4 F 3.02, 8 N 3.04
F (0.0000, 0.0000, 0.5000)  2 Pb 2.16

=====

Record 3
Density functional theory data (PBE+U) for an optimized crystal structure of CoPt2NF.

Values from the calculation:
Symmetry: P4/mmm, No. 123
DOS(E_F): 5.4 states/eV per cell
Crystal system: tetragonal
Calculated total energy: -3.835 eV/atom

abc: 4.4739 3.7762 4.4739
angles: 90.00 90.00 90.00
Closest atoms and distances in Å follow each position.
Sites, in units of the cell vectors:
N (0.5000, 0.5000, 0.5000)  8 Pt 2.93, 4 Co 3.16
Co (0.0000, 0.5000, 0.0000)  2 F 1.89
Pt (0.0000, 0.0000, 0.5000)  2 F 2.24
Pt (0.5000, 0.0000, 0.0000)  2 F 2.24
F (0.0000, 0.0000, 0.0000)  2 Co 1.89

=====

Record 4
Density functional theory data (PBE+U) for an optimized crystal structure of RbCoN2F.

Values from the calculation:
Excess energy over the best structure of this formula in the dataset: 1687 meV per atom
Symmetry: P4/mmm, No. 123
DOS(E_F): 0.7 states/eV per cell
Crystal system: tetragonal

abc: 5.3763 5.3763 4.9579
angles: 90.00 90.00 90.00
Closest atoms and distances in Å follow each position.
Sites, in units of the cell vectors:
N (0.0000, 0.5000, 0.0000)  2 Rb 2.69
N (0.5000, 0.0000, 0.0000)  2 Rb 2.69
Co (0.5000, 0.5000, 0.5000)  8 N 3.66, 4 F 3.80
Rb (0.0000, 0.0000, 0.0000)  2 F 2.48, 4 N 2.69
F (0.0000, 0.0000, 0.5000)  2 Rb 2.48

=====

Record 5
Density functional theory data (PBE+U) for an optimized crystal structure of RbCoNF2.

Values from the calculation:
Excess energy over the best structure of this formula in the dataset: 0 meV per atom
Symmetry: P4/mmm, No. 123
DOS(E_F): 1.5 states/eV per cell
Crystal system: tetragonal

abc: 4.4403 4.4403 3.5042
angles: 90.00 90.00 90.00
Closest atoms and distances in Å follow each position.
Sites, in units of the cell vectors:
N (0.0000, 0.0000, 0.5000)  2 Co 1.75
Co (0.0000, 0.0000, 0.0000)  2 N 1.75
Rb (0.5000, 0.5000, 0.5000)  8 F 2.83, 4 N 3.14
F (0.0000, 0.5000, 0.0000)  2 Co 2.22
F (0.5000, 0.0000, 0.0000)  2 Co 2.22

=====

Record 6
Density functional theory data (PBE+U) for an optimized crystal structure of RbCoNF2.

Values from the calculation:
Excess energy over the best structure of this formula in the dataset: 1573 meV per atom
Symmetry: P4/mmm, No. 123
DOS(E_F): 3.5 states/eV per cell
Crystal system: tetragonal

abc: 5.1095 5.1095 5.1709
angles: 90.00 90.00 90.00
Closest atoms and distances in Å follow each position.
Sites, in units of the cell vectors:
N (0.0000, 0.0000, 0.5000)  2 Rb 2.59
Co (0.5000, 0.5000, 0.5000)  4 N 3.61, 8 F 3.63
Rb (0.0000, 0.0000, 0.0000)  4 F 2.55, 2 N 2.59
F (0.0000, 0.5000, 0.0000)  2 Rb 2.55
F (0.5000, 0.0000, 0.0000)  2 Rb 2.55

=====

Record 7
Density functional theory data (PBE+U) for an optimized crystal structure of RbCoN2F.

Values from the calculation:
Excess energy over the best structure of this formula in the dataset: 0 meV per atom
Symmetry: P4/mmm, No. 123
DOS(E_F): 2.4 states/eV per cell
Crystal system: tetragonal

abc: 3.5599 3.5599 6.6633
angles: 90.00 90.00 90.00
Closest atoms and distances in Å follow each position.
Sites, in units of the cell vectors:
N (0.0000, 0.5000, 0.0000)  2 Co 1.78
N (0.5000, 0.0000, 0.0000)  2 Co 1.78
Co (0.0000, 0.0000, 0.0000)  4 N 1.78
Rb (0.5000, 0.5000, 0.5000)  4 F 2.52
F (0.0000, 0.0000, 0.5000)  4 Rb 2.52

=====

Record 8
Density functional theory data (PBE+U) for an optimized crystal structure of CoRhN2F.

Values from the calculation:
Excess energy over the best structure of this formula in the dataset: 77 meV per atom
Symmetry: P4/mmm, No. 123
DOS(E_F): 4.6 states/eV per cell
Crystal system: tetragonal

abc: 3.7087 3.7087 3.7410
angles: 90.00 90.00 90.00
Closest atoms and distances in Å follow each position.
Sites, in units of the cell vectors:
Co (0.0000, 0.0000, 0.0000)  4 N 1.85, 2 F 1.87
N (0.0000, 0.5000, 0.0000)  2 Co 1.85
N (0.5000, 0.0000, 0.0000)  2 Co 1.85
Rh (0.5000, 0.5000, 0.5000)  4 F 2.62, 8 N 2.63
F (0.0000, 0.0000, 0.5000)  2 Co 1.87

=====

Record 9
Density functional theory data (PBE+U) for an optimized crystal structure of CoRhN2F.

Values from the calculation:
Excess energy over the best structure of this formula in the dataset: 0 meV per atom
Symmetry: P4/mmm, No. 123
DOS(E_F): 3.4 states/eV per cell
Crystal system: tetragonal

abc: 3.7742 3.7742 4.5841
angles: 90.00 90.00 90.00
Closest atoms and distances in Å follow each position.
Sites, in units of the cell vectors:
Co (0.5000, 0.5000, 0.5000)  4 F 2.67, 8 N 2.97
N (0.0000, 0.5000, 0.0000)  2 Rh 1.89
N (0.5000, 0.0000, 0.0000)  2 Rh 1.89
Rh (0.0000, 0.0000, 0.0000)  4 N 1.89
F (0.0000, 0.0000, 0.5000)  2 Rh 2.29

=====

Record 10
Density functional theory data (PBE+U) for an optimized crystal structure of CoRhNF2.

Values from the calculation:
Excess energy over the best structure of this formula in the dataset: 141 meV per atom
Symmetry: P4/mmm, No. 123
DOS(E_F): 5.8 states/eV per cell
Crystal system: tetragonal

abc: 4.0527 4.0527 3.5405
angles: 90.00 90.00 90.00
Closest atoms and distances in Å follow each position.
Sites, in units of the cell vectors:
Co (0.0000, 0.0000, 0.0000)  2 N 1.77
N (0.0000, 0.0000, 0.5000)  2 Co 1.77
Rh (0.5000, 0.5000, 0.5000)  8 F 2.69, 4 N 2.87
F (0.0000, 0.5000, 0.0000)  2 Co 2.03
F (0.5000, 0.0000, 0.0000)  2 Co 2.03

=====

Record 11
Density functional theory data (PBE+U) for an optimized crystal structure of CoRhNF2.

Values from the calculation:
Excess energy over the best structure of this formula in the dataset: 0 meV per atom
Symmetry: P4/mmm, No. 123
DOS(E_F): 5.0 states/eV per cell
Crystal system: tetragonal

abc: 4.3698 4.3698 3.6641
angles: 90.00 90.00 90.00
Closest atoms and distances in Å follow each position.
Sites, in units of the cell vectors:
Co (0.5000, 0.5000, 0.5000)  8 F 2.85, 4 N 3.09
N (0.0000, 0.0000, 0.5000)  2 Rh 1.83
Rh (0.0000, 0.0000, 0.0000)  2 N 1.83
F (0.0000, 0.5000, 0.0000)  2 Rh 2.18
F (0.5000, 0.0000, 0.0000)  2 Rh 2.18

=====

Record 12
Density functional theory data (PBE+U) for an optimized crystal structure of CoSN2F.

Values from the calculation:
Excess energy over the best structure of this formula in the dataset: 0 meV per atom
Symmetry: P4/mmm, No. 123
DOS(E_F): 3.8 states/eV per cell
Crystal system: tetragonal

abc: 3.3826 3.3826 5.0443
angles: 90.00 90.00 90.00
Closest atoms and distances in Å follow each position.
Sites, in units of the cell vectors:
S (0.0000, 0.0000, 0.0000)  4 N 1.69
N (0.0000, 0.5000, 0.0000)  2 S 1.69
N (0.5000, 0.0000, 0.0000)  2 S 1.69
Co (0.5000, 0.5000, 0.5000)  4 F 2.39
F (0.0000, 0.0000, 0.5000)  4 Co 2.39, 2 S 2.52